This record from the Alexandria database describes crystalline Pr2SmMoN4 at its relaxed geometry. The functional is PBE-GGA.

Geometry as extended XYZ:
```
16
Lattice="1.757 -6.052 0.000 1.757 6.052 0.000 0.000 0.000 12.306" Properties=species:S:1:pos:R:3 pbc="T T T"
Pr 1.757 4.451 6.618
Pr 1.757 4.451 11.841
Pr 1.757 -4.451 0.465
Pr 1.757 -4.451 5.688
Sm 1.757 1.404 9.230
Sm 1.757 -1.404 3.077
Mo 1.757 1.844 3.077
Mo 1.757 -1.844 9.230
N 1.757 5.273 9.230
N 1.757 3.263 1.703
N 1.757 3.263 4.450
N 1.757 0.000 0.000
N 1.757 0.000 6.153
N 1.757 -3.263 7.856
N 1.757 -3.263 10.604
N 1.757 -5.273 3.077
```

Results
space group: Cmcm
formation energy from raw total energies: -0.91 eV/atom


This record from the Alexandria database describes crystalline Tb6PrHo3Er2 at its relaxed geometry. The functional is PBE-GGA.

Geometry as extended XYZ:
```
12
Lattice="3.079 -5.328 0.000 3.079 5.328 0.000 -2.040 0.000 11.608" Properties=species:S:1:pos:R:3 pbc="T T T"
Tb 1.022 1.781 2.882
Tb 0.007 0.000 8.725
Tb 1.022 -1.781 2.882
Tb 3.095 1.781 8.726
Tb 4.111 0.000 2.883
Tb 3.095 -1.781 8.726
Pr 2.059 0.000 5.804
Ho 0.000 0.000 0.000
Ho 3.079 1.780 0.000
Ho 3.079 -1.780 0.000
Er 2.059 3.551 5.804
Er 2.059 -3.551 5.804
```

Results
space group: C2/m
calculated formation energy: 17 meV per atom


This record from the Alexandria database describes crystalline SrNiHg2 at its relaxed geometry. The functional is PBE-GGA.

Geometry as extended XYZ:
```
4
Lattice="4.334 0.000 0.000 0.000 4.343 0.000 -1.933 0.000 5.425" Properties=species:S:1:pos:R:3 pbc="T T T"
Sr 0.000 0.000 0.000
Ni 1.201 0.000 2.712
Hg 0.158 2.171 3.811
Hg 2.243 2.171 1.613
```

Results
space group: P2/m
calculated formation energy: -96 meV per atom


This record from the Alexandria database describes crystalline Na2ZrFeSb at its relaxed geometry. The functional is PBE-GGA.

Geometry as extended XYZ:
```
5
Lattice="5.418 0.000 0.000 0.000 5.418 0.000 0.000 0.000 4.707" Properties=species:S:1:pos:R:3 pbc="T T T"
Na 0.000 2.709 0.000
Na 2.709 0.000 0.000
Zr 0.000 0.000 2.354
Fe 2.709 2.709 2.354
Sb 2.709 2.709 0.000
```

Results
space group: P4/mmm
formation energy from raw total energies: 1.11 eV/atom


Magnetization list, top to bottom, in μB per formula unit: 0.0 0.0 0.0 2.5